## YMgGa (GGA-PBE)

Data for a relaxed structure of YMgGa.

Cell and atoms, written as extended XYZ:
```
6
Lattice="4.492 0.000 0.000 -2.246 3.890 0.000 0.000 0.000 11.237" Properties=species:S:1:pos:R:3 pbc="T T T"
Y 0.000 0.000 0.000
Y 0.000 0.000 5.618
Mg 0.000 2.593 2.809
Mg 2.246 1.297 8.428
Ga 0.000 0.000 2.809
Ga 0.000 0.000 8.428
```

Computed properties:
Its total DFT energy (no corrections) is -3.296 eV/atom. The value obtained for the energy above the most stable polymorph in this dataset is 917.9 meV/atom. Its total moment is 1.12 μB/cell. For the energy of formation from the pure elements, the calculation gives 116 kJ/mol of formula units.



## YMgGa6 (GGA-PBE)

Data for a relaxed structure of YMgGa6.

Cell and atoms, written as extended XYZ:
```
8
Lattice="4.247 0.000 0.000 0.000 4.247 0.000 0.000 0.000 8.450" Properties=species:S:1:pos:R:3 pbc="T T T"
Y 0.000 0.000 0.000
Mg 0.000 0.000 4.225
Ga 0.000 2.124 2.203
Ga 0.000 2.124 6.247
Ga 2.124 0.000 2.203
Ga 2.124 0.000 6.247
Ga 2.124 2.124 0.000
Ga 2.124 2.124 4.225
```

Computed properties:
Its total DFT energy (no corrections) is -3.575 eV/atom. Its total moment is 0.00 μB/cell. For the energy of formation from the pure elements, the calculation gives -229 kJ/mol of formula units.



## Y2MgGa (GGA-PBE)

Data for a relaxed structure of Y2MgGa.

Cell and atoms, written as extended XYZ:
```
8
Lattice="3.300 0.000 0.000 0.000 5.541 0.000 0.000 0.000 12.664" Properties=species:S:1:pos:R:3 pbc="T T T"
Y 0.000 0.000 2.906
Y 0.000 0.000 9.758
Y 1.650 2.770 3.426
Y 1.650 2.770 9.237
Mg 0.000 0.000 6.332
Mg 1.650 2.770 0.000
Ga 0.000 0.000 0.000
Ga 1.650 2.770 6.332
```

Computed properties:
Its total DFT energy (no corrections) is -4.082 eV/atom. Its total moment is 0.00 μB/cell. For the energy of formation from the pure elements, the calculation gives 118 kJ/mol of formula units.



## YMgGa3 (GGA-PBE)

Data for a relaxed structure of YMgGa3.

Cell and atoms, written as extended XYZ:
```
5
Lattice="4.922 0.000 0.000 0.000 4.922 0.000 0.000 0.000 4.922" Properties=species:S:1:pos:R:3 pbc="T T T"
Y 0.000 0.000 0.000
Mg 2.461 2.461 2.461
Ga 0.000 2.461 2.461
Ga 2.461 0.000 2.461
Ga 2.461 2.461 0.000
```

Computed properties:
Its total DFT energy (no corrections) is -3.272 eV/atom. Its total moment is 0.00 μB/cell. For the energy of formation from the pure elements, the calculation gives 75 kJ/mol of formula units.



## YMgGa (GGA-PBE)

Data for a relaxed structure of YMgGa.

Cell and atoms, written as extended XYZ:
```
6
Lattice="5.021 0.000 0.000 -2.510 4.348 0.000 0.000 0.000 6.154" Properties=species:S:1:pos:R:3 pbc="T T T"
Y 0.000 2.899 1.539
Y 2.510 1.449 4.616
Mg 0.000 0.000 0.000
Mg 0.000 0.000 3.077
Ga 0.000 2.899 4.616
Ga 2.510 1.449 1.539
```

Computed properties:
Its total DFT energy (no corrections) is -4.137 eV/atom. The value obtained for the energy above the most stable polymorph in this dataset is 76.9 meV/atom. Its total moment is 0.00 μB/cell. For the energy of formation from the pure elements, the calculation gives -128 kJ/mol of formula units.



## YMgGa (GGA-PBE)

Data for a relaxed structure of YMgGa.

Cell and atoms, written as extended XYZ:
```
6
Lattice="4.642 0.000 0.000 0.000 3.586 0.000 0.000 0.000 8.416" Properties=species:S:1:pos:R:3 pbc="T T T"
Y 1.161 0.000 1.796
Y 3.482 0.000 6.620
Mg 1.161 1.793 4.949
Mg 3.482 1.793 3.468
Ga 1.161 1.793 7.666
Ga 3.482 1.793 0.750
```

Computed properties:
Its total DFT energy (no corrections) is -4.061 eV/atom. The value obtained for the energy above the most stable polymorph in this dataset is 152.5 meV/atom. Its total moment is 0.00 μB/cell. For the energy of formation from the pure elements, the calculation gives -106 kJ/mol of formula units.



## Y2MgGa (GGA-PBE)

Data for a relaxed structure of Y2MgGa.

Cell and atoms, written as extended XYZ:
```
4
Lattice="3.672 0.000 0.000 0.000 3.672 0.000 0.000 0.000 7.425" Properties=species:S:1:pos:R:3 pbc="T T T"
Y 0.000 0.000 1.731
Y 0.000 0.000 5.695
Mg 1.836 1.836 3.713
Ga 1.836 1.836 0.000
```

Computed properties:
Its total DFT energy (no corrections) is -4.758 eV/atom. Its total moment is 0.00 μB/cell. For the energy of formation from the pure elements, the calculation gives -143 kJ/mol of formula units.



## Y2MgGa (GGA-PBE)

Data for a relaxed structure of Y2MgGa.

Cell and atoms, written as extended XYZ:
```
16
Lattice="8.218 0.000 0.000 0.000 8.218 0.000 0.000 0.000 6.606" Properties=species:S:1:pos:R:3 pbc="T T T"
Y 1.767 2.055 0.826
Y 2.055 5.876 2.477
Y 2.055 6.452 5.780
Y 2.343 2.055 4.129
Y 5.876 6.164 4.129
Y 6.164 1.767 5.780
Y 6.164 2.343 2.477
Y 6.452 6.164 0.826
Mg 0.000 0.000 3.303
Mg 0.000 4.109 4.954
Mg 4.109 0.000 1.651
Mg 4.109 4.109 0.000
Ga 0.000 0.000 0.000
Ga 0.000 4.109 1.651
Ga 4.109 0.000 4.954
Ga 4.109 4.109 3.303
```

Computed properties:
Its total DFT energy (no corrections) is -4.385 eV/atom. Its total moment is 0.00 μB/cell. For the energy of formation from the pure elements, the calculation gives 1 kJ/mol of formula units.



## YMgGa (GGA-PBE)

Data for a relaxed structure of YMgGa.

Cell and atoms, written as extended XYZ:
```
9
Lattice="7.284 0.000 0.000 -3.642 6.308 0.000 0.000 0.000 4.445" Properties=species:S:1:pos:R:3 pbc="T T T"
Y -2.091 3.622 0.000
Y 1.551 2.687 0.000
Y 4.182 0.000 0.000
Mg -0.887 1.536 2.223
Mg 1.773 0.000 2.223
Mg 2.756 4.773 2.223
Ga 0.000 0.000 0.000
Ga 0.000 4.206 2.223
Ga 3.642 2.103 2.223
```

Computed properties:
Its total DFT energy (no corrections) is -4.214 eV/atom. The value obtained for the energy above the most stable polymorph in this dataset is 0.0 meV/atom. Its total moment is 0.00 μB/cell. For the energy of formation from the pure elements, the calculation gives -150 kJ/mol of formula units.



## YMgGa3 (GGA-PBE)

Data for a relaxed structure of YMgGa3.

Cell and atoms, written as extended XYZ:
```
5
Lattice="5.471 0.000 0.000 0.000 5.471 0.000 0.000 0.000 5.471" Properties=species:S:1:pos:R:3 pbc="T T T"
Y 0.000 0.000 0.000
Mg 2.736 2.736 2.736
Ga 0.000 0.000 2.736
Ga 0.000 2.736 0.000
Ga 2.736 0.000 0.000
```

Computed properties:
Its total DFT energy (no corrections) is -2.805 eV/atom. Its total moment is 0.00 μB/cell. For the energy of formation from the pure elements, the calculation gives 301 kJ/mol of formula units.



## YMgGa (GGA-PBE)

Data for a relaxed structure of YMgGa.

Cell and atoms, written as extended XYZ:
```
6
Lattice="4.942 0.000 0.000 -2.471 4.280 0.000 0.000 0.000 6.408" Properties=species:S:1:pos:R:3 pbc="T T T"
Y 0.000 0.000 0.000
Y 0.000 2.853 4.212
Mg 0.000 2.853 1.105
Mg 2.471 1.427 2.254
Ga 0.000 0.000 3.045
Ga 2.471 1.427 5.567
```

Computed properties:
Its total DFT energy (no corrections) is -4.055 eV/atom. The value obtained for the energy above the most stable polymorph in this dataset is 159.2 meV/atom. Its total moment is 0.00 μB/cell. For the energy of formation from the pure elements, the calculation gives -104 kJ/mol of formula units.



## YMgGa (GGA-PBE)

Data for a relaxed structure of YMgGa.

Cell and atoms, written as extended XYZ:
```
12
Lattice="16.214 0.000 0.000 0.000 4.440 0.000 -0.982 0.000 3.876" Properties=species:S:1:pos:R:3 pbc="T T T"
Y 2.627 0.000 0.664
Y 4.498 2.220 3.212
Y 10.734 2.220 0.664
Y 12.605 0.000 3.212
Mg -0.491 0.000 1.938
Mg 0.000 2.220 0.000
Mg 8.107 0.000 0.000
Mg 7.616 2.220 1.938
Ga 1.527 2.220 2.447
Ga 5.598 0.000 1.429
Ga 9.634 0.000 2.447
Ga 13.705 2.220 1.429
```

Computed properties:
Its total DFT energy (no corrections) is -4.109 eV/atom. The value obtained for the energy above the most stable polymorph in this dataset is 105.1 meV/atom. Its total moment is 0.00 μB/cell. For the energy of formation from the pure elements, the calculation gives -120 kJ/mol of formula units.



Look up the total DFT energy (no corrections) of the sixth one. -4.061 eV/atom